No. 1
Below is a geometry-optimized Lu2TeH structure, with properties calculated at the PBE level.

Density = 9.35 Mg/m³
Space-group type = R-3m (166)
Raw total energy = -4.494 eV per atom
Size of the total moment = 0.0 μB/cell

abc: 3.8026 3.8026 7.1332
angles: 74.54 74.54 60.00
Positions (direct):
H (0.0000, 0.0000, 0.0000)
Lu (0.7294, 0.7294, 0.8117)
Lu (0.2706, 0.2706, 0.1883)
Te (0.5000, 0.5000, 0.5000)

No. 2
Below is a geometry-optimized Lu2ThH structure, with properties calculated at the PBE level.

Energy relative to the lowest polymorph listed for this composition = 0.159 eV per atom
Density = 10.31 Mg/m³
Space-group type = P4/mmm (123)
Raw total energy = -4.783 eV per atom
Size of the total moment = 0.0 μB/cell

abc: 3.3620 3.3620 8.3080
angles: 90.00 90.00 90.00
Positions (direct):
Lu (0.0000, 0.0000, 0.8019)
Lu (0.0000, 0.0000, 0.1981)
H (0.5000, 0.5000, 0.0000)
Th (0.5000, 0.5000, 0.5000)

No. 3
Below is a geometry-optimized LuTh3H structure, with properties calculated at the PBE level.

Density = 11.13 Mg/m³
Space-group type = Pm-3m (221)
Raw total energy = -6.087 eV per atom
Size of the total moment = 0.0 μB/cell

abc: 5.0665 5.0665 5.0665
angles: 90.00 90.00 90.00
Positions (direct):
Th (0.0000, 0.5000, 0.0000)
Lu (0.5000, 0.5000, 0.5000)
H (0.0000, 0.0000, 0.0000)
Th (0.0000, 0.0000, 0.5000)
Th (0.5000, 0.0000, 0.0000)

Which value of density does entry 1 give? 9.35 Mg/m³